1.
Here is crystalline VSeIO2 at its relaxed geometry from Alexandria via LeMat-Bulk. Energies are from PBE+U.

abc: 3.867 3.867 6.208
angles: 90.00 90.00 90.00
Last column: magnetic moment on the atom in μB.
Fractional positions:
Se1 0.500 0.500 0.500  -0.02
O1 0.500 0.000 0.000  -0.29
O2 0.000 0.500 0.000  -0.29
I1 0.000 0.000 0.500  -0.04
V1 0.000 0.000 0.000  1.42

Output
Energy relative to the lowest polymorph listed for this composition ... 0 meV per atom
DOS at the Fermi energy ... 2.67 states/eV/f.u.
Calculated density ... 5.17 g/cm³
Symmetry ... P4/mmm (123)
Total energy ... -24.93 eV for the cell shown

***

2.
Here is crystalline VSeIO2 at its relaxed geometry from Alexandria via LeMat-Bulk. Energies are from PBE+U.

abc: 3.990 3.990 6.231
angles: 90.00 90.00 90.00
Last column: magnetic moment on the atom in μB.
Fractional positions:
I1 0.000 0.000 0.500  0.04
Se1 0.000 0.000 0.000  0.02
O1 0.500 0.000 0.000  0.00
O2 0.000 0.500 0.000  0.00
V1 0.500 0.500 0.500  -3.04

Output
Energy relative to the lowest polymorph listed for this composition ... 702 meV per atom
DOS at the Fermi energy ... 1.84 states/eV/f.u.
Calculated density ... 4.83 g/cm³
Symmetry ... P4/mmm (123)
Total energy ... -21.42 eV for the cell shown

***

3.
Here is crystalline WSeI2O at its relaxed geometry from Alexandria via LeMat-Bulk. Energies are from PBE+U.

abc: 5.749 5.749 3.859
angles: 90.00 90.00 90.00
Last column: magnetic moment on the atom in μB.
Fractional positions:
O1 0.000 0.000 0.500  -0.04
I1 0.500 0.000 0.000  0.04
I2 0.000 0.500 0.000  0.04
W1 0.000 0.000 0.000  0.44
Se1 0.500 0.500 0.500  0.44

Output
Energy relative to the lowest polymorph listed for this composition ... 0 meV per atom
DOS at the Fermi energy ... 2.95 states/eV/f.u.
Calculated density ... 6.93 g/cm³
Symmetry ... P4/mmm (123)
Total energy ... -18.60 eV for the cell shown

***

4.
Here is crystalline WSeI2O at its relaxed geometry from Alexandria via LeMat-Bulk. Energies are from PBE+U.

abc: 5.918 5.918 3.816
angles: 90.00 90.00 90.00
Last column: magnetic moment on the atom in μB.
Fractional positions:
W1 0.500 0.500 0.500  3.81
O1 0.000 0.000 0.500  0.00
I1 0.500 0.000 0.000  -0.02
I2 0.000 0.500 0.000  -0.02
Se1 0.000 0.000 0.000  0.00

Output
Energy relative to the lowest polymorph listed for this composition ... 644 meV per atom
DOS at the Fermi energy ... 3.42 states/eV/f.u.
Calculated density ... 6.62 g/cm³
Symmetry ... P4/mmm (123)
Total energy ... -15.38 eV for the cell shown